[1]
## Nb2Se3S (PBE)

Data for crystalline Nb2Se3S at its relaxed geometry.

Cell: 3.445 3.445 12.888 Å, 90.00 90.00 120.00°
Site moments in Bohr magnetons follow the coordinates.
Positions (direct):
1 Nb 0.667 0.333 0.751  0.03
2 Nb 0.667 0.333 0.243  0.08
3 S 0.000 0.000 0.127  0.00
4 Se 0.000 0.000 0.377  0.00
5 Se 0.333 0.667 0.619  0.00
6 Se 0.333 0.667 0.883  0.00

=====

[2]
## MgCuSnAu (PBE)

Data for crystalline MgCuSnAu at its relaxed geometry.

Cell: 4.704 4.704 4.704 Å, 60.00 60.00 60.00°
Positions (direct):
1 Au 0.250 0.250 0.250
2 Cu 0.750 0.750 0.750
3 Mg 0.500 0.500 0.500
4 Sn 0.000 0.000 0.000

=====

VASP energy per entry: -6.682; -3.295 eV/atom